# 1
SrCd2Cl after structural relaxation. Source: the Alexandria database, functional PBE.

Computed properties:
For the uncorrected formation energy, the calculation gives -0.793 eV per atom. The value obtained for the total magnetization is 0.0 μB per cell. The value obtained for the total energy is -2.133 eV per atom. For the energy above the most stable polymorph in this dataset, the calculation gives 0.018 eV per atom. As for the volume: 29.450 Å³ per atom. Its space-group type is P4/mmm, No. 123.

abc: 4.2075 4.2075 6.6543
angles: 90.00 90.00 90.00
Closest atoms and distances in Å follow each position.
Fractional coordinates of all 4 atoms:
Cd  0.0000  0.0000  0.0000  4 Cd 2.98
Cd  0.5000  0.5000  0.0000  4 Cd 2.98
Cl  0.5000  0.0000  0.5000  4 Sr 2.98
Sr  0.0000  0.5000  0.5000  4 Cl 2.98


# 2
BaLiSiAu2 after structural relaxation. Source: the Alexandria database, functional PBE.

Computed properties:
For the uncorrected formation energy, the calculation gives -0.426 eV per atom. The value obtained for the total magnetization is 0.0 μB per cell. The value obtained for the total energy is -3.589 eV per atom. For the energy above the most stable polymorph in this dataset, the calculation gives 0.000 eV per atom. As for the volume: 24.646 Å³ per atom. Its space-group type is P4/mmm, No. 123.

abc: 5.0233 5.0233 4.8837
angles: 90.00 90.00 90.00
Closest atoms and distances in Å follow each position.
Fractional coordinates of all 5 atoms:
Si  0.0000  0.0000  0.0000  2 Li 2.44, 4 Au 2.51
Au  0.0000  0.5000  0.0000  2 Si 2.51
Au  0.5000  0.0000  0.0000  2 Si 2.51
Ba  0.5000  0.5000  0.5000  8 Au 3.50, 4 Li 3.55
Li  0.0000  0.0000  0.5000  2 Si 2.44